[1]
{
  "formula": "CrFeCo2S",
  "functional": "PBE",
  "state": "relaxed",
  "lattice_angstrom": [[4.195, 0.000, 0.000], [0.000, 4.195, 0.000], [0.000, 0.000, 4.186]],
  "species": ["Cr", "Fe", "Co", "Co", "S"],
  "fractional_positions": [[0.000, 0.000, 0.000], [0.500, 0.500, 0.500], [0.000, 0.500, 0.000], [0.500, 0.000, 0.000], [0.000, 0.000, 0.500]],
  "rho_g_cm3": 5.81,
  "final_energy_ev_per_atom": -5.995,
  "total_magnetization_mub_per_cell": 1.03,
  "e_form_raw_mev_per_atom": 1290
}

=====

[2]
{
  "formula": "Zr2H2Pt",
  "functional": "PBE",
  "state": "relaxed",
  "lattice_angstrom": [[-1.627, 1.627, 6.185], [1.627, -1.627, 6.185], [1.627, 1.627, -6.185]],
  "species": ["Zr", "Zr", "H", "H", "Pt"],
  "fractional_positions": [[0.141, 0.141, 0.000], [0.859, 0.859, 0.000], [0.250, 0.750, 0.500], [0.750, 0.250, 0.500], [0.500, 0.500, 0.000]],
  "rho_g_cm3": 9.62,
  "final_energy_ev_per_atom": -6.677,
  "total_magnetization_mub_per_cell": 0.00
}

=====

[3]
{
  "formula": "Ca2Tl7Pb2",
  "functional": "PBE",
  "state": "relaxed",
  "lattice_angstrom": [[7.425, -5.192, 0.000], [7.425, 5.192, 0.000], [-1.472, 0.000, 4.457]],
  "species": ["Ca", "Ca", "Tl", "Tl", "Tl", "Tl", "Tl", "Tl", "Tl", "Pb", "Pb"],
  "fractional_positions": [[0.176, 0.176, 0.175], [0.824, 0.824, 0.825], [0.000, 0.000, 0.500], [0.092, 0.583, 0.338], [0.367, 0.367, 0.868], [0.417, 0.908, 0.662], [0.583, 0.092, 0.338], [0.633, 0.633, 0.132], [0.908, 0.417, 0.662], [0.239, 0.761, 0.000], [0.761, 0.239, 0.000]],
  "polymorph_energy_ev_per_fu": 0.00,
  "rho_g_cm3": 9.30,
  "delta_e_f_ev_per_atom": -0.127,
  "final_energy_ev_per_atom": -2.671,
  "total_magnetization_mub_per_cell": 0.00
}

=====

[4]
{
  "formula": "Cd2Cu2Sb",
  "functional": "PBE",
  "state": "relaxed",
  "lattice_angstrom": [[-1.721, 1.721, 8.710], [1.721, -1.721, 8.710], [1.721, 1.721, -8.710]],
  "species": ["Cd", "Cd", "Cu", "Cu", "Sb"],
  "fractional_positions": [[0.126, 0.126, 0.000], [0.874, 0.874, 0.000], [0.250, 0.750, 0.500], [0.750, 0.250, 0.500], [0.500, 0.500, 0.000]],
  "polymorph_energy_ev_per_fu": 0.00,
  "rho_g_cm3": 7.62,
  "final_energy_ev_per_atom": -2.681,
  "total_magnetization_mub_per_cell": 0.00,
  "e_form_raw_mev_per_atom": 148
}

=====

[5]
{
  "formula": "MgHPt2",
  "functional": "PBE",
  "state": "relaxed",
  "lattice_angstrom": [[-3.156, 3.156, 2.627], [3.156, -3.156, 2.627], [3.156, 3.156, -2.627]],
  "species": ["Mg", "Mg", "H", "H", "Pt", "Pt", "Pt", "Pt"],
  "fractional_positions": [[0.000, 0.000, 0.000], [0.750, 0.250, 0.500], [0.250, 0.750, 0.500], [0.500, 0.500, 0.000], [0.232, 0.625, 0.107], [0.375, 0.482, 0.607], [0.518, 0.125, 0.893], [0.875, 0.768, 0.393]],
  "polymorph_energy_ev_per_fu": 0.00,
  "rho_g_cm3": 13.19,
  "final_energy_ev_per_atom": -4.610,
  "total_magnetization_mub_per_cell": 0.00
}

=====

[6]
{
  "formula": "Co2MoP",
  "functional": "PBE",
  "state": "relaxed",
  "lattice_angstrom": [[1.338, 0.773, 7.813], [-1.338, 0.773, 7.813], [0.000, -1.545, 7.813]],
  "species": ["Co", "Co", "Mo", "P"],
  "fractional_positions": [[0.239, 0.239, 0.239], [0.761, 0.761, 0.761], [0.000, 0.000, 0.000], [0.500, 0.500, 0.500]],
  "rho_g_cm3": 8.38,
  "delta_e_f_ev_per_atom": -0.023,
  "final_energy_ev_per_atom": -7.636,
  "total_magnetization_mub_per_cell": 0.37
}

=====

[7]
{
  "formula": "Pm3Sm2Zn2",
  "functional": "PBE",
  "state": "relaxed",
  "lattice_angstrom": [[6.487, -1.882, 0.000], [6.487, 1.882, 0.000], [-4.112, 0.000, 8.439]],
  "species": ["Pm", "Pm", "Pm", "Sm", "Sm", "Zn", "Zn"],
  "fractional_positions": [[0.000, 0.000, 0.000], [0.111, 0.111, 0.440], [0.889, 0.889, 0.560], [0.347, 0.347, 0.185], [0.653, 0.653, 0.815], [0.324, 0.324, 0.772], [0.676, 0.676, 0.228]],
  "polymorph_energy_ev_per_fu": 0.00,
  "rho_g_cm3": 6.98,
  "delta_e_f_ev_per_atom": -0.127,
  "final_energy_ev_per_atom": -3.876,
  "total_magnetization_mub_per_cell": 0.00
}

=====

[8]
{
  "formula": "Al4CoRh",
  "functional": "PBE",
  "state": "relaxed",
  "lattice_angstrom": [[0.000, 3.495, 3.495], [3.495, 0.000, 3.495], [3.495, 3.495, 0.000]],
  "species": ["Al", "Al", "Al", "Al", "Co", "Rh"],
  "fractional_positions": [[0.125, 0.125, 0.125], [0.125, 0.125, 0.625], [0.125, 0.625, 0.125], [0.625, 0.125, 0.125], [0.750, 0.750, 0.750], [0.500, 0.500, 0.500]],
  "rho_g_cm3": 5.25,
  "delta_e_f_ev_per_atom": 0.010,
  "final_energy_ev_per_atom": -4.894,
  "total_magnetization_mub_per_cell": 0.00
}

=====

[9]
{
  "formula": "CrAgCl3",
  "functional": "PBE",
  "state": "relaxed",
  "lattice_angstrom": [[4.859, 0.000, 0.000], [0.000, 4.859, 0.000], [0.000, 0.000, 4.859]],
  "species": ["Cr", "Ag", "Cl", "Cl", "Cl"],
  "fractional_positions": [[0.000, 0.000, 0.000], [0.500, 0.500, 0.500], [0.000, 0.000, 0.500], [0.000, 0.500, 0.000], [0.500, 0.000, 0.000]],
  "polymorph_energy_ev_per_fu": 0.00,
  "rho_g_cm3": 3.85,
  "final_energy_ev_per_atom": -4.150,
  "total_magnetization_mub_per_cell": 3.94,
  "e_form_raw_mev_per_atom": -547
}

=====

[10]
{
  "formula": "Ta2SbTe",
  "functional": "PBE",
  "state": "relaxed",
  "lattice_angstrom": [[3.303, 0.000, 0.000], [0.000, 5.134, 0.000], [0.000, 0.000, 4.894]],
  "species": ["Ta", "Ta", "Sb", "Te"],
  "fractional_positions": [[0.000, 0.000, 0.000], [0.500, 0.500, 0.222], [0.500, 0.000, 0.483], [0.000, 0.500, 0.746]],
  "polymorph_energy_ev_per_fu": 0.94,
  "rho_g_cm3": 12.23,
  "final_energy_ev_per_atom": -7.566,
  "total_magnetization_mub_per_cell": 0.00,
  "e_form_raw_mev_per_atom": 177
}

=====

[11]
{
  "formula": "K3PaCr2Te6",
  "functional": "PBE",
  "state": "relaxed",
  "lattice_angstrom": [[3.698, -6.399, 0.000], [3.698, 6.399, 0.000], [-2.476, 0.000, 8.246]],
  "species": ["K", "K", "K", "Pa", "Cr", "Cr", "Te", "Te", "Te", "Te", "Te", "Te"],
  "fractional_positions": [[0.000, 0.000, 0.000], [0.339, 0.661, 0.000], [0.661, 0.339, 0.000], [0.500, 0.500, 0.500], [0.167, 0.833, 0.500], [0.833, 0.167, 0.500], [0.084, 0.435, 0.305], [0.213, 0.213, 0.693], [0.435, 0.084, 0.305], [0.565, 0.916, 0.695], [0.787, 0.787, 0.307], [0.916, 0.565, 0.695]],
  "rho_g_cm3": 5.18,
  "final_energy_ev_per_atom": -4.932,
  "total_magnetization_mub_per_cell": 8.00,
  "e_form_raw_mev_per_atom": -691
}

=====

[12]
{
  "formula": "Ti2InBr",
  "functional": "PBE",
  "state": "relaxed",
  "lattice_angstrom": [[-2.092, 2.092, 9.931], [2.092, -2.092, 9.931], [2.092, 2.092, -9.931]],
  "species": ["Ti", "Ti", "Ti", "Ti", "In", "In", "Br", "Br"],
  "fractional_positions": [[0.121, 0.625, 0.996], [0.375, 0.371, 0.496], [0.629, 0.125, 0.004], [0.875, 0.879, 0.504], [0.000, 0.000, 0.000], [0.750, 0.250, 0.500], [0.250, 0.750, 0.500], [0.500, 0.500, 0.000]],
  "polymorph_energy_ev_per_fu": 0.65,
  "rho_g_cm3": 5.55,
  "final_energy_ev_per_atom": -4.695,
  "total_magnetization_mub_per_cell": 0.00,
  "e_form_raw_mev_per_atom": 356
}

=====

[13]
{
  "formula": "CaAsPSe2",
  "functional": "PBE",
  "state": "relaxed",
  "lattice_angstrom": [[5.051, 0.000, 0.000], [0.000, 5.051, 0.000], [0.000, 0.000, 4.674]],
  "species": ["Ca", "As", "P", "Se", "Se"],
  "fractional_positions": [[0.000, 0.000, 0.000], [0.500, 0.500, 0.000], [0.500, 0.500, 0.500], [0.000, 0.500, 0.500], [0.500, 0.000, 0.500]],
  "polymorph_energy_ev_per_fu": 0.00,
  "rho_g_cm3": 4.23,
  "final_energy_ev_per_atom": -4.066,
  "total_magnetization_mub_per_cell": 0.00,
  "e_form_raw_mev_per_atom": -260
}

=====

[14]
{
  "formula": "HoHgIr",
  "functional": "PBE",
  "state": "relaxed",
  "lattice_angstrom": [[5.377, 0.000, 0.000], [2.193, 7.746, 0.000], [2.193, 3.286, 7.016]],
  "species": ["Ho", "Ho", "Ho", "Ho", "Hg", "Hg", "Hg", "Hg", "Ir", "Ir", "Ir", "Ir"],
  "fractional_positions": [[0.215, 0.418, 0.167], [0.216, 0.916, 0.666], [0.784, 0.084, 0.334], [0.785, 0.582, 0.833], [0.214, 0.156, 0.907], [0.215, 0.658, 0.407], [0.785, 0.342, 0.593], [0.786, 0.844, 0.093], [0.337, 0.024, 0.272], [0.338, 0.521, 0.774], [0.662, 0.479, 0.226], [0.663, 0.976, 0.728]],
  "rho_g_cm3": 12.68,
  "delta_e_f_ev_per_atom": -0.317,
  "final_energy_ev_per_atom": -4.897,
  "total_magnetization_mub_per_cell": 0.00
}

=====

[15]
{
  "formula": "K2Na2Au",
  "functional": "PBE",
  "state": "relaxed",
  "lattice_angstrom": [[-2.192, 2.192, 11.001], [2.192, -2.192, 11.001], [2.192, 2.192, -11.001]],
  "species": ["K", "K", "Na", "Na", "Au"],
  "fractional_positions": [[0.083, 0.083, 0.000], [0.917, 0.917, 0.000], [0.250, 0.750, 0.500], [0.750, 0.250, 0.500], [0.500, 0.500, 0.000]],
  "polymorph_energy_ev_per_fu": 0.29,
  "rho_g_cm3": 2.52,
  "delta_e_f_ev_per_atom": -0.041,
  "final_energy_ev_per_atom": -1.663,
  "total_magnetization_mub_per_cell": 0.00
}

=====

[16]
{
  "formula": "InReSi2",
  "functional": "PBE",
  "state": "relaxed",
  "lattice_angstrom": [[1.615, -2.408, 0.000], [1.615, 2.408, 0.000], [0.000, 0.000, 9.475]],
  "species": ["In", "Re", "Si", "Si"],
  "fractional_positions": [[0.000, 0.000, 0.000], [0.000, 0.000, 0.500], [0.500, 0.500, 0.303], [0.500, 0.500, 0.697]],
  "rho_g_cm3": 8.05,
  "final_energy_ev_per_atom": -6.114,
  "total_magnetization_mub_per_cell": 0.00,
  "e_form_raw_mev_per_atom": 394
}

=====

[17]
{
  "formula": "KPdAuSe2",
  "functional": "PBE",
  "state": "relaxed",
  "lattice_angstrom": [[3.088, -5.737, 0.000], [3.088, 5.737, 0.000], [0.000, 0.000, 7.780]],
  "species": ["K", "K", "Pd", "Pd", "Au", "Au", "Se", "Se", "Se", "Se"],
  "fractional_positions": [[0.250, 0.750, 0.776], [0.750, 0.250, 0.224], [0.250, 0.250, 0.000], [0.750, 0.750, 0.000], [0.000, 0.000, 0.500], [0.500, 0.500, 0.500], [0.093, 0.907, 0.213], [0.407, 0.593, 0.213], [0.593, 0.407, 0.787], [0.907, 0.093, 0.787]],
  "rho_g_cm3": 6.03,
  "final_energy_ev_per_atom": -3.778,
  "total_magnetization_mub_per_cell": 0.00,
  "e_form_raw_mev_per_atom": -470
}

=====

[18]
{
  "formula": "Cd12In6Ga",
  "functional": "PBE",
  "state": "relaxed",
  "lattice_angstrom": [[6.397, 3.693, 3.328], [-6.397, 3.693, 3.328], [0.000, -7.387, 3.328]],
  "species": ["Cd", "Cd", "Cd", "Cd", "Cd", "Cd", "Cd", "Cd", "Cd", "Cd", "Cd", "Cd", "In", "In", "In", "In", "In", "In", "Ga"],
  "fractional_positions": [[0.051, 0.265, 0.786], [0.189, 0.546, 0.627], [0.214, 0.949, 0.735], [0.265, 0.786, 0.051], [0.373, 0.811, 0.454], [0.454, 0.373, 0.811], [0.546, 0.627, 0.189], [0.627, 0.189, 0.546], [0.735, 0.214, 0.949], [0.786, 0.051, 0.265], [0.811, 0.454, 0.373], [0.949, 0.735, 0.214], [0.136, 0.422, 0.210], [0.210, 0.136, 0.422], [0.422, 0.210, 0.136], [0.578, 0.790, 0.864], [0.790, 0.864, 0.578], [0.864, 0.578, 0.790], [0.000, 0.000, 0.000]],
  "rho_g_cm3": 7.42,
  "delta_e_f_ev_per_atom": 0.057,
  "final_energy_ev_per_atom": -1.545,
  "total_magnetization_mub_per_cell": 0.00
}

=====

[19]
{
  "formula": "La2YAl",
  "functional": "PBE",
  "state": "relaxed",
  "lattice_angstrom": [[5.582, 0.000, 0.000], [0.000, 5.582, 0.000], [0.000, 0.000, 3.931]],
  "species": ["La", "La", "Y", "Al"],
  "fractional_positions": [[0.000, 0.500, 0.000], [0.500, 0.000, 0.000], [0.000, 0.000, 0.500], [0.500, 0.500, 0.500]],
  "rho_g_cm3": 5.34,
  "delta_e_f_ev_per_atom": -0.069,
  "final_energy_ev_per_atom": -5.085,
  "total_magnetization_mub_per_cell": 0.00
}

=====

[20]
{
  "formula": "V8BAs2",
  "functional": "PBE",
  "state": "relaxed",
  "lattice_angstrom": [[7.071, -2.095, 0.000], [7.071, 2.095, 0.000], [-1.800, 0.000, 4.810]],
  "species": ["V", "V", "V", "V", "V", "V", "V", "V", "B", "As", "As"],
  "fractional_positions": [[0.008, 0.008, 0.277], [0.218, 0.218, 0.614], [0.357, 0.357, 0.235], [0.414, 0.414, 0.802], [0.586, 0.586, 0.198], [0.643, 0.643, 0.765], [0.782, 0.782, 0.386], [0.992, 0.992, 0.723], [0.500, 0.500, 0.500], [0.165, 0.165, 0.091], [0.835, 0.835, 0.909]],
  "rho_g_cm3": 6.62,
  "delta_e_f_ev_per_atom": -0.240,
  "final_energy_ev_per_atom": -8.324,
  "total_magnetization_mub_per_cell": 0.00
}